(1)
Here is a geometry-optimized Y2TlMo structure from Alexandria. Energies are from PBE.

POSCAR file:
```
Y2TlMo
1.0
5.8301 -1.6489 0.0000
5.8301 1.6489 0.0000
-1.6972 0.0000 5.1604
Y Tl Mo
2 1 1
direct
0.0000 0.0000 0.0000
0.2026 0.2026 0.6477
0.7627 0.7627 0.1862
0.4671 0.4671 0.4840
```

Symmetry = Cm
Polymorph energy (0 for the lowest one) = 148 meV per atom
Energy of formation = 0.214 eV per atom
Magnetic moment = 0.0 μB/f.u.

(2)
Here is a geometry-optimized YTl2Mo structure from Alexandria. Energies are from PBE.

POSCAR file:
```
YTl2Mo
1.0
-2.1938 2.1938 10.6061
2.1938 -2.1938 10.6061
2.1938 2.1938 -10.6061
Y Tl Mo
2 4 2
direct
0.0000 0.0000 0.0000
0.7500 0.2500 0.5000
0.1519 0.6250 0.0269
0.3750 0.4019 0.5269
0.5981 0.1250 0.9731
0.8750 0.8481 0.4731
0.2500 0.7500 0.5000
0.5000 0.5000 0.0000
```

Symmetry = I-42d
Polymorph energy (0 for the lowest one) = 372 meV per atom
Energy of formation = 0.628 eV per atom
Magnetic moment = 0.0 μB/f.u.

(3)
Here is a geometry-optimized YTl2Mo structure from Alexandria. Energies are from PBE.

POSCAR file:
```
YTl2Mo
1.0
-2.1455 2.3602 4.4559
2.1455 -2.3602 4.4559
2.1455 2.3602 -4.4559
Y Tl Mo
1 2 1
direct
0.0000 0.0000 0.0000
0.2558 0.7558 0.5000
0.7442 0.2442 0.5000
0.5000 0.5000 0.0000
```

Symmetry = Immm
Polymorph energy (0 for the lowest one) = 0 meV per atom
Energy of formation = 0.256 eV per atom
Magnetic moment = 0.0 μB/f.u.

(4)
Here is a geometry-optimized Y2TlMo structure from Alexandria. Energies are from PBE.

POSCAR file:
```
Y2TlMo
1.0
1.7379 1.0034 9.7817
-1.7379 1.0034 9.7817
0.0000 -2.0068 9.7817
Y Tl Mo
2 1 1
direct
0.2417 0.2417 0.2417
0.7583 0.7583 0.7583
0.0000 0.0000 0.0000
0.5000 0.5000 0.5000
```

Symmetry = R-3m
Polymorph energy (0 for the lowest one) = 159 meV per atom
Energy of formation = 0.225 eV per atom
Magnetic moment = 1.1 μB/f.u.

(5)
Here is a geometry-optimized TlZnMo3 structure from Alexandria. Energies are from PBE.

POSCAR file:
```
TlZnMo3
1.0
4.9825 0.0000 0.0000
0.0000 4.9825 0.0000
0.0000 0.0000 4.9825
Tl Zn Mo
1 1 3
direct
0.0000 0.0000 0.0000
0.5000 0.5000 0.5000
0.0000 0.0000 0.5000
0.0000 0.5000 0.0000
0.5000 0.0000 0.0000
```

Symmetry = Pm-3m
Polymorph energy (0 for the lowest one) = 1105 meV per atom
Energy of formation = 2.680 eV per atom
Magnetic moment = 0.0 μB/f.u.

(6)
Here is a geometry-optimized TlZn2Mo2 structure from Alexandria. Energies are from PBE.

POSCAR file:
```
TlZn2Mo2
1.0
-1.8786 1.8786 6.4188
1.8786 -1.8786 6.4188
1.8786 1.8786 -6.4188
Tl Zn Mo
1 2 2
direct
0.0000 0.0000 0.0000
0.2500 0.7500 0.5000
0.7500 0.2500 0.5000
0.4059 0.4059 0.0000
0.5941 0.5941 0.0000
```

Symmetry = I4/mmm
Polymorph energy (0 for the lowest one) = 244 meV per atom
Energy of formation = 0.646 eV per atom
Magnetic moment = 0.0 μB/f.u.

(7)
Here is a geometry-optimized Tl4ZnMo2 structure from Alexandria. Energies are from PBE.

POSCAR file:
```
Tl4ZnMo2
1.0
-2.7621 2.7621 6.8212
2.7621 -2.7621 6.8212
2.7621 2.7621 -6.8212
Tl Zn Mo
4 1 2
direct
0.0000 0.5000 0.5000
0.2026 0.2026 0.0000
0.5000 0.0000 0.5000
0.7974 0.7974 0.0000
0.0000 0.0000 0.0000
0.4216 0.4216 0.0000
0.5784 0.5784 0.0000
```

Symmetry = I4/mmm
Energy of formation = 0.883 eV per atom
Magnetic moment = 0.0 μB/f.u.

(8)
Here is a geometry-optimized Tl3ZnMo structure from Alexandria. Energies are from PBE.

POSCAR file:
```
Tl3ZnMo
1.0
5.2813 0.0000 0.0000
0.0000 5.2813 0.0000
0.0000 0.0000 5.2813
Tl Zn Mo
3 1 1
direct
0.0000 0.0000 0.5000
0.0000 0.5000 0.0000
0.5000 0.0000 0.0000
0.0000 0.0000 0.0000
0.5000 0.5000 0.5000
```

Symmetry = Pm-3m
Polymorph energy (0 for the lowest one) = 340 meV per atom
Energy of formation = 1.071 eV per atom
Magnetic moment = 4.4 μB/f.u.